1.
Entry from Alexandria: an optimized crystal structure of NaAsPbAu (PBE).

Computed properties:
- Space group: F-43m, No. 216

Unit cell a=7.228 b=7.228 c=7.228 alpha=90.00 beta=90.00 gamma=90.00
Fractional coordinates of all 16 atoms:
Na 0.000 0.000 0.000
Na 0.000 0.500 0.500
Na 0.500 0.000 0.500
Na 0.500 0.500 0.000
As 0.250 0.250 0.250
As 0.250 0.750 0.750
As 0.750 0.250 0.750
As 0.750 0.750 0.250
Pb 0.000 0.000 0.500
Pb 0.000 0.500 0.000
Pb 0.500 0.000 0.000
Pb 0.500 0.500 0.500
Au 0.250 0.250 0.750
Au 0.250 0.750 0.250
Au 0.750 0.250 0.250
Au 0.750 0.750 0.750

2.
Entry from Alexandria: an optimized crystal structure of NaAsPdAu (PBE).

Computed properties:
- Space group: P4/nmm, No. 129

Unit cell a=4.094 b=4.094 c=9.755 alpha=90.00 beta=90.00 gamma=90.00
Fractional coordinates of all 8 atoms:
Na 0.250 0.250 0.233
Na 0.750 0.750 0.767
As 0.250 0.250 0.651
As 0.750 0.750 0.349
Pd 0.250 0.750 0.500
Pd 0.750 0.250 0.500
Au 0.250 0.750 0.000
Au 0.750 0.250 0.000

3.
Entry from Alexandria: an optimized crystal structure of NaPmAsAu (PBE).

Computed properties:
- Space group: F-43m, No. 216

Unit cell a=7.193 b=7.193 c=7.193 alpha=90.00 beta=90.00 gamma=90.00
Fractional coordinates of all 16 atoms:
Na 0.000 0.000 0.000
Na 0.000 0.500 0.500
Na 0.500 0.000 0.500
Na 0.500 0.500 0.000
Pm 0.000 0.000 0.500
Pm 0.000 0.500 0.000
Pm 0.500 0.000 0.000
Pm 0.500 0.500 0.500
As 0.250 0.250 0.750
As 0.250 0.750 0.250
As 0.750 0.250 0.250
As 0.750 0.750 0.750
Au 0.250 0.250 0.250
Au 0.250 0.750 0.750
Au 0.750 0.250 0.750
Au 0.750 0.750 0.250

no.,DOS(E_F) (states/eV/cell),E_form (meV per atom),energy (eV per atom)
1,7.04,-81,-3.3191
2,4.68,-273,-3.8832
3,0.39,-757,-4.2561